Na3CdOs2O8 after structural relaxation, computed with PBE.

Cell and atoms, written as CIF:
```
data_Na3CdOs2O8
_symmetry_space_group_name_H-M 'P 1'
_symmetry_Int_Tables_number 1
_symmetry_space_group_name_Hall 'P 1'
_cell_length_a 5.8852
_cell_length_b 5.8852
_cell_length_c 7.3436
_cell_angle_alpha 90.00
_cell_angle_beta 90.00
_cell_angle_gamma 120.00
loop_
_atom_site_label
_atom_site_type_symbol
_atom_site_fract_x
_atom_site_fract_y
_atom_site_fract_z
Na1 Na 0.0000 0.0000 0.0000
Na2 Na 0.3333 0.6667 0.6388
Na3 Na 0.6667 0.3333 0.3612
Cd1 Cd 0.0000 0.0000 0.5000
Os1 Os 0.3333 0.6667 0.1831
Os2 Os 0.6667 0.3333 0.8169
O1 O 0.1708 0.3416 0.2947
O2 O 0.1708 0.8292 0.2947
O3 O 0.3333 0.6667 0.9417
O4 O 0.3416 0.1708 0.7053
O5 O 0.6584 0.8292 0.2947
O6 O 0.6667 0.3333 0.0583
O7 O 0.8292 0.1708 0.7053
O8 O 0.8292 0.6584 0.7053
```

- Crystal system: trigonal
- Raw formation energy: -1.041 eV/atom
- Volume: 220.3 Å³ per cell